CaBe2Ir2: PBEsol geometry, meta-GGA SCAN. Values from VASP.

Cell and atoms, written as Quantum ESPRESSO input:
```
&SYSTEM
  ibrav = 0, nat = 10, ntyp = 3
/
ATOMIC_SPECIES
Be 9.01 Be.upf
Ca 40.08 Ca.upf
Ir 192.22 Ir.upf
ATOMIC_POSITIONS crystal
Be 0.0000 0.3760 0.8760
Be 0.0000 0.8760 0.6240
Be 0.0000 0.6240 0.1240
Be 0.0000 0.1240 0.3760
Ca 0.0000 0.0000 0.0000
Ca 0.0000 0.5000 0.5000
Ir 0.5000 0.1539 0.6539
Ir 0.5000 0.6539 0.8461
Ir 0.5000 0.8461 0.3461
Ir 0.5000 0.3461 0.1539
CELL_PARAMETERS angstrom
2.8721 0.0000 0.0000
0.0000 6.7782 0.0000
0.0000 0.0000 6.7782
```

Results
**Energy of formation**: -0.49 eV per atom
**Theoretical density**: 11.1 g/cm³

=====

AlCdSbTe: PBEsol geometry, meta-GGA SCAN. Values from VASP.

Cell and atoms, written as Quantum ESPRESSO input:
```
&SYSTEM
  ibrav = 0, nat = 4, ntyp = 4
/
ATOMIC_SPECIES
Sb 121.76 Sb.upf
Te 127.60 Te.upf
Al 26.98 Al.upf
Cd 112.41 Cd.upf
ATOMIC_POSITIONS crystal
Sb 0.1288 0.1288 0.6137
Te 0.6189 0.6189 0.1433
Al 0.4987 0.4987 0.5039
Cd 0.0036 0.0036 0.9891
CELL_PARAMETERS angstrom
-0.0373 4.4327 0.2780
-2.6225 2.0173 2.9632
4.5299 1.8836 6.0556
```

Results
**Theoretical density**: 5.1 g/cm³
**ΔE_f (raw)**: -336 meV per atom

=====

TbAlB14: PBEsol geometry, meta-GGA SCAN. Values from VASP.

Cell and atoms, written as Quantum ESPRESSO input:
```
&SYSTEM
  ibrav = 0, nat = 32, ntyp = 3
/
ATOMIC_SPECIES
B 10.81 B.upf
Tb 158.93 Tb.upf
Al 26.98 Al.upf
ATOMIC_POSITIONS crystal
B 0.3330 0.6327 0.7012
B 0.6670 0.3673 0.2988
B 0.8330 0.2012 0.1327
B 0.1670 0.7988 0.8673
B 0.8572 0.7700 0.5156
B 0.1428 0.2300 0.4844
B 0.3572 0.0156 0.2700
B 0.6428 0.9844 0.7300
B 0.9101 0.9233 0.2564
B 0.0899 0.0767 0.7436
B 0.4101 0.7564 0.4233
B 0.5899 0.2436 0.5767
B 0.2763 0.3987 0.7229
B 0.3980 0.6013 0.2771
B 0.7763 0.2229 0.8987
B 0.8980 0.7771 0.1013
B 0.7237 0.6013 0.2771
B 0.6020 0.3987 0.7229
B 0.2237 0.7771 0.1013
B 0.1020 0.2229 0.8987
B 0.6721 0.0317 0.1280
B 0.8317 0.9683 0.8720
B 0.1721 0.6280 0.5317
B 0.3317 0.3720 0.4683
B 0.3279 0.9683 0.8720
B 0.1683 0.0317 0.1280
B 0.8279 0.3720 0.4683
B 0.6683 0.6280 0.5317
Tb 0.7500 0.6012 0.8988
Tb 0.2500 0.3988 0.1012
Al 0.5000 0.0000 0.5000
Al 0.0000 0.0000 0.5000
CELL_PARAMETERS angstrom
-1.7945 -0.6274 -5.5704
5.4174 -0.9589 -4.7468
0.1870 -6.8568 -2.3976
```

Results
**Energy of formation**: -0.20 eV per atom
**Theoretical density**: 4.4 g/cm³

=====

CaAl3Fe: PBEsol geometry, meta-GGA SCAN. Values from VASP.

Cell and atoms, written as Quantum ESPRESSO input:
```
&SYSTEM
  ibrav = 0, nat = 5, ntyp = 3
/
ATOMIC_SPECIES
Ca 40.08 Ca.upf
Fe 55.84 Fe.upf
Al 26.98 Al.upf
ATOMIC_POSITIONS crystal
Ca 0.5000 0.5000 0.5000
Fe 0.0000 0.0000 0.0000
Al 0.0000 0.5000 0.0000
Al 0.0000 0.0000 0.5000
Al 0.5000 0.0000 0.0000
CELL_PARAMETERS angstrom
-3.7747 0.9056 -2.3131
-2.2899 -2.8996 2.6015
-0.9629 3.3453 2.8811
```

Results
**Energy of formation**: -0.24 eV per atom
**Theoretical density**: 3.2 g/cm³

=====

BaCrRh2F: PBEsol geometry, meta-GGA SCAN. Values from VASP.

Cell and atoms, written as Quantum ESPRESSO input:
```
&SYSTEM
  ibrav = 0, nat = 5, ntyp = 4
/
ATOMIC_SPECIES
Cr 52.00 Cr.upf
Rh 102.91 Rh.upf
Ba 137.33 Ba.upf
F 19.00 F.upf
ATOMIC_POSITIONS crystal
Cr 0.0000 0.0000 0.0000
Rh 0.0000 0.5000 0.0000
Rh 0.5000 0.0000 0.0000
Ba 0.5000 0.5000 0.5000
F 0.0000 0.0000 0.5000
CELL_PARAMETERS angstrom
4.4001 0.0000 0.0000
0.0000 4.4001 0.0000
0.0000 0.0000 4.9555
```

Results
**Theoretical density**: 7.2 g/cm³
**ΔE_f (raw)**: -390 meV per atom

=====

FeTeOsN2: PBEsol geometry, meta-GGA SCAN. Values from VASP.

Cell and atoms, written as Quantum ESPRESSO input:
```
&SYSTEM
  ibrav = 0, nat = 5, ntyp = 4
/
ATOMIC_SPECIES
Te 127.60 Te.upf
Os 190.23 Os.upf
Fe 55.84 Fe.upf
N 14.01 N.upf
ATOMIC_POSITIONS crystal
Te 0.0000 0.0000 0.5000
Os 0.0000 0.0000 0.0000
Fe 0.5000 0.5000 0.5000
N 0.0000 0.5000 0.0000
N 0.5000 0.0000 0.0000
CELL_PARAMETERS angstrom
-2.1854 -0.5780 -3.0031
-2.6475 -1.4899 2.2134
-2.3409 5.2030 0.7022
```

Results
**Theoretical density**: 8.2 g/cm³
**ΔE_f (raw)**: 793 meV per atom

=====

AsC3: PBEsol geometry, meta-GGA SCAN. Values from VASP.

Cell and atoms, written as Quantum ESPRESSO input:
```
&SYSTEM
  ibrav = 0, nat = 4, ntyp = 2
/
ATOMIC_SPECIES
As 74.92 As.upf
C 12.01 C.upf
ATOMIC_POSITIONS crystal
As 0.0000 0.0000 0.0000
C 0.5000 0.0000 0.5000
C 0.3050 0.6100 0.5000
C 0.6950 0.3900 0.5000
CELL_PARAMETERS angstrom
-0.2634 2.3919 0.0064
-0.4900 -1.2553 -3.4347
-6.9130 -0.7654 1.4869
```

Results
**Energy of formation**: 0.94 eV per atom
**Theoretical density**: 3.1 g/cm³

=====

K2LiNdF6: PBEsol geometry, meta-GGA SCAN. Values from VASP.

Cell and atoms, written as Quantum ESPRESSO input:
```
&SYSTEM
  ibrav = 0, nat = 10, ntyp = 4
/
ATOMIC_SPECIES
K 39.10 K.upf
Li 6.94 Li.upf
Nd 144.24 Nd.upf
F 19.00 F.upf
ATOMIC_POSITIONS crystal
K 0.7500 0.7500 0.7500
K 0.2500 0.2500 0.2500
Li 0.5000 0.5000 0.5000
Nd 0.0000 0.0000 0.0000
F 0.7379 0.2621 0.2621
F 0.7379 0.7379 0.2621
F 0.2621 0.7379 0.7379
F 0.7379 0.2621 0.7379
F 0.2621 0.7379 0.2621
F 0.2621 0.2621 0.7379
CELL_PARAMETERS angstrom
-1.1207 -5.8889 -0.8112
-0.5118 -3.6684 4.7827
-5.3976 -2.2857 1.4948
```

Results
**Theoretical density**: 3.6 g/cm³
**ΔE_f (raw)**: -3468 meV per atom

=====

LaTaAl: PBEsol geometry, meta-GGA SCAN. Values from VASP.

Cell and atoms, written as Quantum ESPRESSO input:
```
&SYSTEM
  ibrav = 0, nat = 3, ntyp = 3
/
ATOMIC_SPECIES
La 138.91 La.upf
Al 26.98 Al.upf
Ta 180.95 Ta.upf
ATOMIC_POSITIONS crystal
La 0.6636 0.6636 0.3271
Al 0.9842 0.9842 0.9684
Ta 0.3523 0.3523 0.7045
CELL_PARAMETERS angstrom
-2.9222 0.0117 0.6445
-0.0601 -2.9839 -0.2184
3.0099 0.9508 6.6826
```

Results
**Energy of formation**: 0.12 eV per atom
**Theoretical density**: 9.1 g/cm³

=====

TaMo5: PBEsol geometry, meta-GGA SCAN. Values from VASP.

Cell and atoms, written as Quantum ESPRESSO input:
```
&SYSTEM
  ibrav = 0, nat = 6, ntyp = 2
/
ATOMIC_SPECIES
Mo 95.94 Mo.upf
Ta 180.95 Ta.upf
ATOMIC_POSITIONS crystal
Mo 0.5000 0.0000 0.5000
Mo 0.0000 0.6667 0.3333
Mo 0.5000 0.5000 0.5000
Mo 0.5000 0.5000 0.0000
Mo 0.0000 0.3333 0.6667
Ta 0.0000 0.0000 0.0000
CELL_PARAMETERS angstrom
4.5227 0.0000 0.0000
0.0000 5.0945 0.0000
0.0000 -2.5473 4.4120
```

Results
**Energy of formation**: 0.50 eV per atom
**Theoretical density**: 10.8 g/cm³

=====

AlTl2Sb: PBEsol geometry, meta-GGA SCAN. Values from VASP.

Cell and atoms, written as Quantum ESPRESSO input:
```
&SYSTEM
  ibrav = 0, nat = 4, ntyp = 3
/
ATOMIC_SPECIES
Sb 121.76 Sb.upf
Tl 204.38 Tl.upf
Al 26.98 Al.upf
ATOMIC_POSITIONS crystal
Sb 0.2500 0.7500 0.5000
Tl 0.0000 0.0000 0.0000
Tl 0.7500 0.2500 0.5000
Al 0.5000 0.5000 0.0000
CELL_PARAMETERS angstrom
-4.0552 -2.3926 0.4749
0.6852 -0.2331 4.6767
-0.5982 5.2885 -2.0431
```

Results
**Theoretical density**: 9.0 g/cm³
**ΔE_f (raw)**: 227 meV per atom

=====

Ba9Fe4Se16: PBEsol geometry, meta-GGA SCAN. Values from VASP.

Cell and atoms, written as Quantum ESPRESSO input:
```
&SYSTEM
  ibrav = 0, nat = 58, ntyp = 3
/
ATOMIC_SPECIES
Ba 137.33 Ba.upf
Fe 55.84 Fe.upf
Se 78.96 Se.upf
ATOMIC_POSITIONS crystal
Ba 0.8741 0.3741 0.7481
Ba 0.6254 0.6254 0.2508
Ba 0.5653 0.3921 0.5350
Ba 0.9697 0.1429 0.5350
Ba 0.3869 0.3081 0.0378
Ba 0.6509 0.7297 0.0378
Ba 0.9820 0.6516 0.4717
Ba 0.4897 0.8201 0.4717
Ba 0.1137 0.6924 0.9629
Ba 0.8492 0.2705 0.9629
Ba 0.0450 0.8918 0.3197
Ba 0.2746 0.4279 0.3197
Ba 0.6814 0.8009 0.8234
Ba 0.1420 0.0226 0.8234
Ba 0.4343 0.0997 0.6780
Ba 0.2437 0.5783 0.6780
Ba 0.8273 0.2003 0.1795
Ba 0.3521 0.9792 0.1795
Fe 0.6315 0.2931 0.3368
Fe 0.7053 0.0437 0.3368
Fe 0.2884 0.3794 0.8354
Fe 0.5470 0.4560 0.8354
Fe 0.8799 0.7061 0.6636
Fe 0.7837 0.9575 0.6636
Fe 0.2107 0.6218 0.1640
Fe 0.9533 0.5422 0.1640
Se 0.7825 0.5477 0.9061
Se 0.1236 0.3584 0.9061
Se 0.6304 0.5248 0.4061
Se 0.7757 0.8813 0.4061
Se 0.7175 0.4504 0.0933
Se 0.3758 0.6429 0.0933
Se 0.9054 0.4800 0.5897
Se 0.6843 0.1097 0.5897
Se 0.5149 0.2913 0.2113
Se 0.6964 0.9200 0.2113
Se 0.1647 0.2697 0.7090
Se 0.5443 0.4392 0.7090
Se 0.9923 0.7059 0.7890
Se 0.7966 0.0831 0.7890
Se 0.3334 0.7388 0.2897
Se 0.9564 0.5509 0.2897
Se 0.0109 0.7491 0.1305
Se 0.1196 0.3814 0.1305
Se 0.6352 0.7447 0.6356
Se 0.0004 0.8909 0.6356
Se 0.4861 0.2506 0.8683
Se 0.3821 0.6177 0.8683
Se 0.8707 0.2442 0.3689
Se 0.4982 0.1247 0.3689
Se 0.3795 0.8795 0.7589
Se 0.1281 0.1281 0.2562
Se 0.6246 0.0293 0.9834
Se 0.3588 0.9541 0.9834
Se 0.2140 0.9586 0.5001
Se 0.2861 0.5415 0.5001
Se 0.8757 0.9712 0.0174
Se 0.1418 0.0462 0.0174
CELL_PARAMETERS angstrom
-4.4808 -7.4315 -4.4166
-0.4424 -4.5925 8.7472
-13.1643 13.5509 1.0024
```

Results
**Theoretical density**: 5.3 g/cm³
**ΔE_f (raw)**: -1561 meV per atom